Entry 1:
Compound: PPtBr2
Source: the Alexandria database
Functional: PBE
Structure: relaxed

```
PPtBr2
1.0
3.363 0.000 0.000
0.000 3.363 0.000
0.000 0.000 6.920
P Pt Br
1 1 2
Direct
0.000 0.000 0.000
0.000 0.000 0.500
0.500 0.500 0.249
0.500 0.500 0.751
```

Values from the calculation:
Magnetic moment ... 0.00 μB per cell
Crystal system ... tetragonal
Raw formation energy ... 956 meV per atom
Theoretical density ... 8.2 g cm⁻³


Entry 2:
Compound: Sr3Ca7Ac2
Source: the Alexandria database
Functional: PBE
Structure: relaxed

```
Sr3Ca7Ac2
1.0
6.539 0.000 0.000
0.000 3.952 0.000
-1.395 0.000 21.332
Sr Ca Ac
3 7 2
Direct
0.000 0.000 0.000
0.282 0.500 0.636
0.718 0.500 0.364
0.178 0.500 0.143
0.241 0.000 0.461
0.318 0.000 0.823
0.500 0.500 0.000
0.682 0.000 0.177
0.759 0.000 0.539
0.822 0.500 0.857
0.203 0.000 0.291
0.797 0.000 0.709
```

Values from the calculation:
Magnetic moment ... 0.00 μB per cell
Calculated total energy ... -26.0 eV per cell
Crystal system ... monoclinic
Theoretical density ... 3.0 g cm⁻³


Entry 3:
Compound: Pm3HgSeBr
Source: the Alexandria database
Functional: PBE
Structure: relaxed

```
Pm3HgSeBr
1.0
7.994 0.000 0.000
0.000 4.156 0.000
-3.651 0.000 10.657
Pm Hg Se Br
6 2 2 2
Direct
0.162 0.250 0.139
0.198 0.250 0.491
0.322 0.750 0.836
0.678 0.250 0.164
0.802 0.750 0.509
0.838 0.750 0.861
0.012 0.250 0.716
0.988 0.750 0.284
0.399 0.750 0.105
0.601 0.250 0.895
0.478 0.750 0.621
0.522 0.250 0.379
```

Values from the calculation:
Magnetic moment ... 0.35 μB per cell
Crystal system ... monoclinic
Raw formation energy ... -1098 meV per atom
Theoretical density ... 7.5 g cm⁻³


Entry 4:
Compound: Sr3Al6Ag5
Source: the Alexandria database
Functional: PBE
Structure: relaxed

```
Sr3Al6Ag5
1.0
4.458 0.000 0.000
0.000 12.979 0.000
0.000 0.000 11.096
Sr Al Ag
6 12 10
Direct
0.250 0.090 0.248
0.250 0.410 0.248
0.250 0.750 0.256
0.750 0.250 0.744
0.750 0.590 0.752
0.750 0.910 0.752
0.250 0.059 0.589
0.250 0.250 0.493
0.250 0.250 0.987
0.250 0.441 0.589
0.250 0.576 0.009
0.250 0.924 0.009
0.750 0.076 0.991
0.750 0.424 0.991
0.750 0.559 0.411
0.750 0.750 0.013
0.750 0.750 0.507
0.750 0.941 0.411
0.250 0.079 0.844
0.250 0.421 0.844
0.250 0.638 0.528
0.250 0.750 0.887
0.250 0.862 0.528
0.750 0.138 0.472
0.750 0.250 0.113
0.750 0.362 0.472
0.750 0.579 0.156
0.750 0.921 0.156
```

Values from the calculation:
Magnetic moment ... 0.00 μB per cell
Calculated total energy ... -90.2 eV per cell
Crystal system ... orthorhombic
Theoretical density ... 5.0 g cm⁻³


Entry 5:
Compound: ScReNi6
Source: the Alexandria database
Functional: PBE
Structure: relaxed

```
ScReNi6
1.0
3.663 -5.188 0.000
3.663 5.188 0.000
0.000 0.000 10.360
Sc Re Ni
4 4 24
Direct
0.000 0.000 0.249
0.000 0.000 0.751
0.248 0.752 0.500
0.752 0.248 0.500
0.241 0.759 0.000
0.500 0.500 0.253
0.500 0.500 0.747
0.759 0.241 0.000
0.000 0.000 0.000
0.000 0.000 0.500
0.130 0.387 0.121
0.130 0.387 0.879
0.132 0.380 0.370
0.132 0.380 0.630
0.255 0.745 0.241
0.255 0.745 0.759
0.380 0.132 0.370
0.380 0.132 0.630
0.387 0.130 0.121
0.387 0.130 0.879
0.500 0.500 0.000
0.500 0.500 0.500
0.613 0.870 0.121
0.613 0.870 0.879
0.620 0.868 0.370
0.620 0.868 0.630
0.745 0.255 0.241
0.745 0.255 0.759
0.868 0.620 0.370
0.868 0.620 0.630
0.870 0.613 0.121
0.870 0.613 0.879
```

Values from the calculation:
Magnetic moment ... 4.04 μB per cell
Calculated total energy ... -218.8 eV per cell
Crystal system ... orthorhombic
Theoretical density ... 9.8 g cm⁻³


Entry 6:
Compound: CsInHg2S
Source: the Alexandria database
Functional: PBE
Structure: relaxed

```
CsInHg2S
1.0
5.502 0.000 0.000
0.000 5.502 0.000
0.000 0.000 6.435
Cs In Hg S
1 1 2 1
Direct
0.000 0.000 0.000
0.500 0.500 0.000
0.000 0.500 0.500
0.500 0.000 0.500
0.000 0.000 0.500
```

Values from the calculation:
Magnetic moment ... 0.00 μB per cell
Excess energy over the best structure of this formula in the dataset ... 0.426 eV per atom
Crystal system ... tetragonal
Raw formation energy ... 123 meV per atom
Theoretical density ... 5.8 g cm⁻³